Record 1
The following is a DFT calculation (PBE with a Hubbard U) of an optimized crystal structure of BaCrMoO6.

Unit cell a=5.248 b=5.297 c=5.749 alpha=91.18 beta=89.86 gamma=58.68
Sites, in units of the cell vectors:
O (0.596, 0.002, 0.303)
Mo (0.337, 0.332, 0.505)
Ba (0.000, 0.002, 0.003)
O (0.399, 0.604, 0.309)
O (0.608, 0.391, 0.689)
O (0.000, 0.602, 0.694)
O (0.002, 0.403, 0.307)
Cr (0.655, 0.666, 0.496)
O (0.404, 0.998, 0.694)

The calculation puts the magnetization at 0.22 μB per atom. The total energy is -0.523 Ry per atom. The calculated volume is 15.164 Å³ per atom.

***

Record 2
The following is a DFT calculation (PBE with a Hubbard U) of an optimized crystal structure of Ba4Cr2MoWO12.

Unit cell a=5.795 b=5.760 c=10.022 alpha=73.30 beta=74.00 gamma=60.19
Sites, in units of the cell vectors:
Ba (0.375, 0.371, 0.882)
Ba (0.126, 0.121, 0.633)
O (0.858, 0.381, 0.381)
Ba (0.874, 0.879, 0.367)
O (0.625, 0.620, 0.619)
O (0.375, 0.864, 0.381)
O (0.883, 0.375, 0.870)
O (0.375, 0.380, 0.381)
O (0.625, 0.136, 0.619)
O (0.117, 0.625, 0.130)
Cr (0.750, 0.749, 0.752)
O (0.612, 0.127, 0.132)
Cr (0.250, 0.251, 0.248)
Ba (0.625, 0.629, 0.118)
O (0.117, 0.128, 0.130)
O (0.142, 0.619, 0.619)
W (0.500, 0.500, 0.500)
O (0.883, 0.872, 0.870)
Mo (0.000, 0.000, 0.000)
O (0.388, 0.873, 0.868)

The calculation puts the magnetization at 0.40 μB per atom. The total energy is -0.529 Ry per atom. The calculated volume is 13.723 Å³ per atom.

***

> Number 1 is which compound?

BaCrMoO6